A relaxed structure of Li2Zr2Ga2CoPd. Source: the Open Quantum Materials Database, functional PBE.

Geometry as POSCAR:
```
Li2Zr2Ga2CoPd
1.0
4.372 0.000 0.000
0.000 4.372 0.000
0.000 0.000 6.326
Li Zr Ga Co Pd
2 2 2 1 1
Direct
0.000 0.000 0.000 Li
0.500 0.500 0.500 Li
0.000 0.500 0.733 Zr
0.500 0.000 0.267 Zr
0.000 0.500 0.264 Ga
0.500 0.000 0.736 Ga
0.000 0.000 0.500 Co
0.500 0.500 0.000 Pd
```

As for the electronic total energy: -5.408 eV per atom.

A relaxed structure of Li4Ga2CoPt. Source: the Open Quantum Materials Database, functional PBE.

Geometry as POSCAR:
```
Li4Ga2CoPt
1.0
4.187 0.000 0.000
0.000 4.187 0.000
0.000 0.000 5.951
Li Ga Co Pt
4 2 1 1
Direct
0.000 0.000 0.000 Li
0.000 0.500 0.745 Li
0.500 0.000 0.255 Li
0.500 0.500 0.500 Li
0.000 0.500 0.270 Ga
0.500 0.000 0.730 Ga
0.000 0.000 0.500 Co
0.500 0.500 0.000 Pt
```

As for the electronic total energy: -3.756 eV per atom.

A relaxed structure of LiGaCoSb. Source: the Open Quantum Materials Database, functional PBE.

Geometry as POSCAR:
```
LiGaCoSb
1.0
0.000 3.183 3.183
3.183 0.000 3.183
3.183 3.183 0.000
Li Ga Co Sb
1 1 1 1
Direct
0.000 0.000 0.000 Li
0.500 0.500 0.500 Ga
0.750 0.750 0.750 Co
0.250 0.250 0.250 Sb
```

The energy above the lowest structure with this stoichiometry is 0.379 eV per atom. As for the electronic total energy: -3.817 eV per atom.

A relaxed structure of LiGaCoSb. Source: the Open Quantum Materials Database, functional PBE.

Geometry as POSCAR:
```
LiGaCoSb
1.0
0.000 3.099 3.099
3.099 0.000 3.099
3.099 3.099 0.000
Li Ga Co Sb
1 1 1 1
Direct
0.000 0.000 0.000 Li
0.750 0.750 0.750 Ga
0.500 0.500 0.500 Co
0.250 0.250 0.250 Sb
```

The energy above the lowest structure with this stoichiometry is 0.000 eV per atom. As for the electronic total energy: -4.196 eV per atom.